Entry from the Alexandria database: crystalline CrFe3Ru at its relaxed geometry (PBE).

Cell and atoms, written as CIF:
```
data_CrFe3Ru
_cell_length_a 4.139
_cell_length_b 4.139
_cell_length_c 4.139
_cell_angle_alpha 90.00
_cell_angle_beta 90.00
_cell_angle_gamma 90.00
_space_group_name_H-M_alt 'P m -3 m'
_space_group_IT_number 221
_space_group_name_Hall '-P 4 2 3'
loop_
_atom_site_label
_atom_site_type_symbol
_atom_site_fract_x
_atom_site_fract_y
_atom_site_fract_z
_atom_site_occupancy
Cr1 Cr 0.000 0.000 0.000 1
Fe1 Fe 0.000 0.000 0.500 1
Ru1 Ru 0.500 0.500 0.500 1
```

Summary:
- Magnetization: 5.951 μB/cell
- Calculated density: 7.51 g/cm³
- Formation energy from the elements: 6.207 eV/f.u.
- Relative energy among the computed polymorphs: 0 meV per atom